Density functional theory data (GGA-PBE) for a geometry-optimized Er3ScRu2 structure.

a b c (Å): 9.297 9.417 6.211
angles (deg): 90.00 90.00 90.00
Space group Cmcm (No. 63)
Inequivalent atoms, fractional coordinates:
Er  0.000  0.075  0.250 (multiplicity 4)
Er  0.181  0.248  0.750 (multiplicity 8)
Sc  0.000  0.438  0.250 (multiplicity 4)
Ru  0.242  0.500  0.000 (multiplicity 8)

Offset from the most stable computed form: 0 meV per atom


Density functional theory data (GGA-PBE) for a geometry-optimized PrSmDyTh2 structure.

a b c (Å): 6.705 15.845 6.720
angles (deg): 90.00 90.00 90.00
Space group Cmcm (No. 63)
Inequivalent atoms, fractional coordinates:
Pr  0.000  0.152  0.250 (multiplicity 4)
Sm  0.000  0.274  0.750 (multiplicity 4)
Dy  0.000  0.348  0.250 (multiplicity 4)
Th  0.245  0.500  0.000 (multiplicity 8)


Density functional theory data (GGA-PBE) for a geometry-optimized CaPd2Au5 structure.

a b c (Å): 4.198 8.206 9.261
angles (deg): 90.00 90.00 90.00
Space group Immm (No. 71)
Inequivalent atoms, fractional coordinates:
Ca  0.000  0.000  0.000 (multiplicity 2)
Pd  0.000  0.500  0.293 (multiplicity 4)
Au  0.000  0.177  0.343 (multiplicity 8)
Au  0.000  0.500  0.000 (multiplicity 2)

Offset from the most stable computed form: 109 meV per atom


Density functional theory data (GGA-PBE) for a geometry-optimized PrDy4Tm4 structure.

a b c (Å): 5.611 6.910 8.335
angles (deg): 100.13 109.58 90.03
Space group P-1 (No. 2)
Inequivalent atoms, fractional coordinates:
Pr  0.000  0.000  0.000 (multiplicity 1)
Dy  0.182  0.469  0.364 (multiplicity 2)
Dy  0.382  0.809  0.765 (multiplicity 2)
Tm  0.202  0.984  0.403 (multiplicity 2)
Tm  0.397  0.298  0.796 (multiplicity 2)

Offset from the most stable computed form: 155 meV per atom


Density functional theory data (GGA-PBE) for a geometry-optimized HoErTmZr structure.

a b c (Å): 4.833 4.833 9.621
angles (deg): 90.00 90.00 90.00
Space group I-4m2 (No. 119)
Inequivalent atoms, fractional coordinates:
Ho  0.000  0.000  0.000 (multiplicity 2)
Er  0.000  0.500  0.750 (multiplicity 2)
Tm  0.000  0.500  0.250 (multiplicity 2)
Zr  0.000  0.000  0.500 (multiplicity 2)

Offset from the most stable computed form: 0 meV per atom


Density functional theory data (GGA-PBE) for a geometry-optimized SrPdW structure.

a b c (Å): 6.159 8.402 5.080
angles (deg): 90.00 90.00 90.00
Space group Ima2 (No. 46)
Inequivalent atoms, fractional coordinates:
Sr  0.250  0.121  0.000 (multiplicity 4)
Pd  0.000  0.000  0.494 (multiplicity 4)
W  0.250  0.730  0.202 (multiplicity 4)

Offset from the most stable computed form: 83 meV per atom


Density functional theory data (GGA-PBE) for a geometry-optimized SrLi2Sn4 structure.

a b c (Å): 7.669 7.669 6.225
angles (deg): 90.00 90.00 90.00
Space group I4/mmm (No. 139)
Inequivalent atoms, fractional coordinates:
Sr  0.000  0.000  0.000 (multiplicity 2)
Li  0.000  0.500  0.250 (multiplicity 4)
Sn  0.198  0.198  0.500 (multiplicity 8)

Offset from the most stable computed form: 0 meV per atom


Density functional theory data (GGA-PBE) for a geometry-optimized KCd3Pt structure.

a b c (Å): 7.946 12.733 5.389
angles (deg): 90.00 90.00 90.00
Space group Cmcm (No. 63)
Inequivalent atoms, fractional coordinates:
K  0.000  0.067  0.250 (multiplicity 4)
Cd  0.000  0.500  0.000 (multiplicity 4)
Cd  0.173  0.256  0.750 (multiplicity 8)
Pt  0.000  0.313  0.250 (multiplicity 4)

Offset from the most stable computed form: 175 meV per atom


E_form per entry: -0.39, 0.39, -0.22, 0.18, 0.08, 0.24, -0.37, -0.08 eV per atom